# 1
Density functional theory data (PBE) for an optimized crystal structure of AgC.

Results
Space-group type: Pm-3m
Offset from the most stable computed form (meV per atom): 1936
Formation enthalpy at 0 K (eV/atom): 2.340

a b c (Å): 2.9097 2.9097 2.9097
angles (deg): 90.00 90.00 90.00
Last column: nearest neighbours and their distance in Å.
Fractional coordinates of all 2 atoms:
Ag1 0.0000 0.0000 0.0000  8 C 2.52
C1 0.5000 0.5000 0.5000  8 Ag 2.52



# 2
Density functional theory data (PBE) for an optimized crystal structure of Ag3C5.

Results
Space-group type: Pm
Offset from the most stable computed form (meV per atom): 0
Formation enthalpy at 0 K (eV/atom): 0.956

a b c (Å): 11.8456 2.6213 11.9010
angles (deg): 90.00 119.81 90.00
Last column: nearest neighbours and their distance in Å.
Fractional coordinates of all 16 atoms:
Ag1 0.0000 0.0000 0.0000  4 Ag 2.62-2.76, 1 C 2.65
Ag2 0.0010 0.5000 0.2042  4 Ag 2.62-2.76, 1 C 2.64
Ag3 0.4510 0.0000 0.6555  4 Ag 2.62-2.76, 1 C 2.66
Ag4 0.4565 0.5000 0.9982  4 Ag 2.62-2.76, 1 C 2.63
Ag5 0.6577 0.5000 0.6599  4 Ag 2.62-2.76, 1 C 2.64
Ag6 0.6588 0.0000 0.2031  4 Ag 2.62-2.76, 1 C 2.65
C1 0.2861 0.0000 0.7459  2 C 1.31
C2 0.2862 0.5000 0.7485  2 C 1.31
C3 0.3726 0.2438 0.2876  2 C 1.28-1.34
C4 0.3726 0.7562 0.2876  2 C 1.28-1.34
C5 0.7049 0.2500 0.9516  2 C 1.31
C6 0.7049 0.7500 0.9516  2 C 1.31
C7 0.9100 0.5000 0.7444  2 C 1.31
C8 0.9123 0.0000 0.3706  2 C 1.31
C9 0.9125 0.0000 0.7469  2 C 1.31
C10 0.9148 0.5000 0.3706  2 C 1.31



# 3
Density functional theory data (PBE) for an optimized crystal structure of AgC.

Results
Space-group type: P-3m1
Offset from the most stable computed form (meV per atom): 18
Formation enthalpy at 0 K (eV/atom): 0.422

a b c (Å): 2.6074 2.6074 11.9365
angles (deg): 90.00 90.00 120.00
Last column: nearest neighbours and their distance in Å.
Fractional coordinates of all 4 atoms:
Ag1 0.3333 0.6667 0.1368  6 Ag 2.61
Ag2 0.6667 0.3333 0.8632  6 Ag 2.61
C1 0.3333 0.6667 0.5000  3 C 1.51
C2 0.6667 0.3333 0.5000  3 C 1.51



# 4
Density functional theory data (PBE) for an optimized crystal structure of AgC.

Results
Space-group type: Pm-3m
Offset from the most stable computed form (meV per atom): 1864
Formation enthalpy at 0 K (eV/atom): 2.269

a b c (Å): 4.3732 4.3732 4.3732
angles (deg): 90.00 90.00 90.00
Last column: nearest neighbours and their distance in Å.
Fractional coordinates of all 6 atoms:
Ag1 0.0000 0.0000 0.5000  4 C 2.19
Ag2 0.0000 0.5000 0.0000  4 C 2.19
Ag3 0.5000 0.0000 0.0000  4 C 2.19
C1 0.0000 0.5000 0.5000  4 Ag 2.19
C2 0.5000 0.0000 0.5000  4 Ag 2.19
C3 0.5000 0.5000 0.0000  4 Ag 2.19



# 5
Density functional theory data (PBE) for an optimized crystal structure of Ag5C3.

Results
Space-group type: Cmmm
Offset from the most stable computed form (meV per atom): 169
Formation enthalpy at 0 K (eV/atom): 1.787

a b c (Å): 7.4928 9.8959 3.1356
angles (deg): 90.00 90.00 90.00
Last column: nearest neighbours and their distance in Å.
Fractional coordinates of all 16 atoms:
Ag1 0.0000 0.0000 0.0000  4 C 2.38
Ag2 0.1939 0.5000 0.5000  2 C 2.14
Ag3 0.2500 0.2500 0.0000  4 C 2.54
Ag4 0.2500 0.7500 0.0000  4 C 2.54
Ag5 0.3061 0.0000 0.5000  2 C 2.14
Ag6 0.5000 0.5000 0.0000  4 C 2.38
Ag7 0.6939 0.0000 0.5000  2 C 2.14
Ag8 0.7500 0.2500 0.0000  4 C 2.54
Ag9 0.7500 0.7500 0.0000  4 C 2.54
Ag10 0.8061 0.5000 0.5000  2 C 2.14
C1 0.0000 0.1811 0.5000  6 Ag 2.38-2.54
C2 0.0000 0.5000 0.0000  4 Ag 2.14
C3 0.0000 0.8189 0.5000  6 Ag 2.38-2.54
C4 0.5000 0.0000 0.0000  4 Ag 2.14
C5 0.5000 0.3189 0.5000  6 Ag 2.38-2.54
C6 0.5000 0.6811 0.5000  6 Ag 2.38-2.54



# 6
Density functional theory data (PBE) for an optimized crystal structure of AgC.

Results
Space-group type: Fd-3m
Offset from the most stable computed form (meV per atom): 2310
Formation enthalpy at 0 K (eV/atom): 2.714

a b c (Å): 5.9595 5.9595 5.9595
angles (deg): 90.00 90.00 90.00
Last column: nearest neighbours and their distance in Å.
Fractional coordinates of all 16 atoms:
Ag1 0.1250 0.1250 0.1250  4 C 2.58, 4 Ag 2.58
Ag2 0.1250 0.6250 0.6250  4 C 2.58, 4 Ag 2.58
Ag3 0.3750 0.3750 0.8750  4 Ag 2.58, 4 C 2.58
Ag4 0.3750 0.8750 0.3750  4 Ag 2.58, 4 C 2.58
Ag5 0.6250 0.1250 0.6250  4 C 2.58, 4 Ag 2.58
Ag6 0.6250 0.6250 0.1250  4 C 2.58, 4 Ag 2.58
Ag7 0.8750 0.3750 0.3750  4 Ag 2.58, 4 C 2.58
Ag8 0.8750 0.8750 0.8750  4 C 2.58, 4 Ag 2.58
C1 0.1250 0.1250 0.6250  4 Ag 2.58, 4 C 2.58
C2 0.1250 0.6250 0.1250  4 Ag 2.58, 4 C 2.58
C3 0.3750 0.3750 0.3750  4 C 2.58, 4 Ag 2.58
C4 0.3750 0.8750 0.8750  4 C 2.58, 4 Ag 2.58
C5 0.6250 0.1250 0.1250  4 Ag 2.58, 4 C 2.58
C6 0.6250 0.6250 0.6250  4 Ag 2.58, 4 C 2.58
C7 0.8750 0.3750 0.8750  4 C 2.58, 4 Ag 2.58
C8 0.8750 0.8750 0.3750  4 C 2.58, 4 Ag 2.58



# 7
Density functional theory data (PBE) for an optimized crystal structure of AgC.

Results
Space-group type: P-62m
Offset from the most stable computed form (meV per atom): 1907
Formation enthalpy at 0 K (eV/atom): 2.311

a b c (Å): 5.7687 5.7687 2.8664
angles (deg): 90.00 90.00 120.00
Last column: nearest neighbours and their distance in Å.
Fractional coordinates of all 6 atoms:
Ag1 0.0000 0.3814 0.0000  5 C 2.20-2.30
Ag2 0.3814 0.0000 0.0000  5 C 2.20-2.30
Ag3 0.6186 0.6186 0.0000  5 C 2.20-2.30
C1 0.0000 0.0000 0.0000  3 Ag 2.20
C2 0.3333 0.6667 0.5000  6 Ag 2.30
C3 0.6667 0.3333 0.5000  6 Ag 2.30



# 8
Density functional theory data (PBE) for an optimized crystal structure of AgC.

Results
Space-group type: Imma
Offset from the most stable computed form (meV per atom): 502
Formation enthalpy at 0 K (eV/atom): 0.907

a b c (Å): 2.6336 4.7699 8.1388
angles (deg): 90.00 90.00 90.00
Last column: nearest neighbours and their distance in Å.
Fractional coordinates of all 8 atoms:
Ag1 0.0000 0.2500 0.0876  3 C 2.46-2.60, 2 Ag 2.63
Ag2 0.0000 0.7500 0.9124  3 C 2.46-2.60, 2 Ag 2.63
Ag3 0.5000 0.2500 0.4124  3 C 2.46-2.60, 2 Ag 2.63
Ag4 0.5000 0.7500 0.5876  3 C 2.46-2.60, 2 Ag 2.63
C1 0.0000 0.2500 0.7852  2 C 1.44
C2 0.0000 0.7500 0.2148  2 C 1.44
C3 0.5000 0.2500 0.7148  2 C 1.44
C4 0.5000 0.7500 0.2852  2 C 1.44